Material: PrHf
Method: DFT, GGA-PBE
State: relaxed

## Properties
formation enthalpy at 0 K	0.63	eV per formula unit
E_tot	-7.05	eV per atom
excess energy over the best structure of this formula in the dataset	0.000	eV per atom
crystal system	hexagonal
space-group type	P-6m2 (187)

```
2
Lattice="-3.350 0.446 -0.081 1.390 -1.938 2.395 0.517 4.488 3.332" Properties=species:S:1:pos:R:3 pbc="T T T"
Hf -1.382 3.017 3.243
Pr -0.061 -0.021 2.403
```